20
Lattice="4.0741 0.0000 -0.6940 0.0000 6.4622 0.0000 -0.0092 0.0000 12.2510" Properties=species:S:1:pos:R:3 comment="Np2Co3Ge5, optimized geometry, DFT PBE-GGA" dos_at_fermi_per_ev_atom=1.8059 ef_mev_per_atom=-262 pbc="T T T"
Np 1.9304 4.8718 11.3321
Np 0.6891 4.6952 4.0451
Np 3.3758 1.4641 7.5120
Np 2.1345 1.6407 0.2250
Co 3.1651 4.6663 6.2752
Co 2.4647 3.2660 2.1636
Co 0.2168 6.3305 1.2729
Co 0.8997 1.4352 5.2818
Co 3.8480 3.0994 10.2842
Co 1.6001 0.0349 9.3934
Ge 1.6365 2.4991 9.6070
Ge 1.1693 3.3154 6.8640
Ge 2.8956 0.0843 4.6930
Ge 0.4982 1.6525 2.9249
Ge 1.1843 6.0268 6.9523
Ge 3.8651 0.5762 10.3848
Ge 2.8805 2.7957 4.6048
Ge 3.5666 4.8836 8.6321
Ge 0.1997 3.8073 1.1723
Ge 2.4283 5.7302 1.9501

***

8
Lattice="-4.3575 -0.5407 -1.5491 1.2303 -3.3075 -2.3064 1.6948 -3.3974 5.7762" Properties=species:S:1:pos:R:3 comment="NpCo2Ge, optimized geometry, DFT PBE-GGA" dos_at_fermi_per_ev_atom=1.7515 ef_mev_per_atom=-182 pbc="T T T"
Np -2.5463 -3.9996 2.4509
Np 1.1140 -3.2460 -0.5302
Co 0.3070 -2.6610 2.0533
Co -1.7393 -4.5846 -0.1326
Co -0.6700 -4.2955 3.8761
Co -0.7623 -2.9501 -1.9554
Ge 0.2849 -5.1381 1.7409
Ge -1.7172 -2.1075 0.1798

***

12
Lattice="3.8061 0.0000 0.0000 -1.9031 7.4285 0.1289 0.0000 -3.2320 6.3708" Properties=species:S:1:pos:R:3 comment="NpCo3Ge2, optimized geometry, DFT PBE-GGA" dos_at_fermi_per_ev_atom=1.8384 ef_mev_per_atom=-161 pbc="T T T"
Np 1.9031 2.1701 6.0559
Np 0.0000 2.0264 0.4438
Co 0.0000 2.8708 3.5635
Co 1.9031 4.8875 4.0422
Co 1.9031 -0.8344 4.1525
Co 0.0000 5.0308 2.3472
Co 0.0000 -0.6910 2.4574
Co 1.9031 1.3256 2.9361
Ge 0.0000 4.4559 5.2831
Ge 1.9031 -0.2595 1.2165
Ge 1.9031 3.5593 2.0944
Ge 0.0000 0.6372 4.4052

***

3
Lattice="3.4115 0.0000 0.0000 0.0000 4.2300 0.0000 0.0000 -2.1150 3.6633" Properties=species:S:1:pos:R:3 comment="NpCoGe, optimized geometry, DFT PBE-GGA" dos_at_fermi_per_ev_atom=2.4106 ef_mev_per_atom=-193 pbc="T T T"
Np 2.2739 2.1150 1.2211
Ge 0.5683 0.0000 2.4422
Co 0.5693 0.0000 0.0000